No. 1
DFT (PBE-GGA) results for crystalline LaPr4Sc at its relaxed geometry.

Summary:
D(E_F) = 9.0 states/eV/cell
E above lowest polymorph = 0.0000 eV per atom
Formation energy from the elements = 38 meV/atom

Cell: 6.316 6.314 6.285 Å, 99.67 80.35 60.02°
Atoms (fractional coordinates):
La 0.500 0.500 0.500
Pr 0.332 0.332 0.000
Pr 0.668 0.668 0.000
Pr 0.838 0.838 0.500
Pr 0.162 0.162 0.500
Sc 0.000 0.000 0.000


No. 2
DFT (PBE-GGA) results for crystalline DyCuNi2 at its relaxed geometry.

Summary:
D(E_F) = 14.0 states/eV/cell
Formation energy from the elements = -102 meV/atom

Cell: 4.686 5.114 11.374 Å, 90.00 90.00 90.00°
Atoms (fractional coordinates):
Dy 0.000 0.250 0.605
Dy 0.500 0.750 0.106
Dy 0.000 0.750 0.395
Dy 0.500 0.250 0.894
Cu 0.500 0.750 0.676
Cu 0.500 0.250 0.324
Cu 0.000 0.250 0.333
Cu 0.000 0.750 0.667
Ni 0.000 0.000 0.000
Ni 0.500 0.500 0.500
Ni 0.250 0.750 0.857
Ni 0.750 0.250 0.143
Ni 0.750 0.750 0.857
Ni 0.250 0.250 0.143
Ni 0.000 0.500 0.000
Ni 0.500 0.000 0.500


No. 3
DFT (PBE-GGA) results for crystalline MnSi2Ni4 at its relaxed geometry.

Summary:
D(E_F) = 19.2 states/eV/cell
Raw formation energy = -0.390 eV per atom
E above lowest polymorph = 0.0000 eV per atom

Cell: 3.639 6.165 14.945 Å, 90.00 90.00 90.00°
Atoms (fractional coordinates):
Mn 0.750 0.944 0.645
Mn 0.250 0.056 0.355
Mn 0.250 0.444 0.855
Mn 0.750 0.556 0.145
Si 0.250 0.753 0.545
Si 0.750 0.247 0.455
Si 0.750 0.253 0.955
Si 0.250 0.747 0.045
Si 0.250 0.936 0.776
Si 0.750 0.064 0.224
Si 0.750 0.436 0.724
Si 0.250 0.564 0.276
Ni 0.250 0.233 0.689
Ni 0.750 0.767 0.311
Ni 0.750 0.733 0.811
Ni 0.250 0.267 0.189
Ni 0.250 0.640 0.688
Ni 0.750 0.360 0.312
Ni 0.750 0.140 0.812
Ni 0.250 0.860 0.188
Ni 0.250 0.133 0.533
Ni 0.750 0.867 0.467
Ni 0.750 0.633 0.967
Ni 0.250 0.367 0.033
Ni 0.250 0.496 0.431
Ni 0.750 0.504 0.569
Ni 0.750 0.996 0.069
Ni 0.250 0.004 0.931


No. 4
DFT (PBE-GGA) results for crystalline La4Ni2Pb at its relaxed geometry.

Summary:
D(E_F) = 14.1 states/eV/cell
Formation energy from the elements = -254 meV/atom

Cell: 8.127 8.127 8.474 Å, 107.79 107.79 111.27°
Atoms (fractional coordinates):
La 0.930 0.230 0.339
La 0.321 0.520 0.162
La 0.891 0.591 0.661
La 0.770 0.071 0.662
La 0.409 0.108 0.338
La 0.358 0.159 0.838
La 0.480 0.680 0.839
La 0.841 0.641 0.161
Ni 0.625 0.375 0.750
Ni 0.625 0.875 0.250
Ni 0.625 0.375 0.250
Ni 0.125 0.375 0.750
Pb 0.250 0.750 0.500
Pb 0.000 0.000 0.000


No. 5
DFT (PBE-GGA) results for crystalline Cr2CuGe at its relaxed geometry.

Summary:
D(E_F) = 9.6 states/eV/cell
Formation energy from the elements = 619 meV/atom

Cell: 6.683 6.683 5.329 Å, 51.16 51.16 90.00°
Atoms (fractional coordinates):
Cr 0.628 0.125 0.250
Cr 0.122 0.625 0.250
Cr 0.375 0.372 0.750
Cr 0.875 0.878 0.750
Ge 0.000 0.000 0.000
Ge 0.750 0.250 0.500
Cu 0.500 0.500 0.000
Cu 0.250 0.750 0.500


No. 6
DFT (PBE-GGA) results for crystalline ZnFeCl2 at its relaxed geometry.

Summary:
D(E_F) = 1.2 states/eV/cell
Raw formation energy = -0.265 eV per atom
E above lowest polymorph = 0.0950 eV per atom

Cell: 5.254 5.254 6.754 Å, 67.89 67.89 34.85°
Atoms (fractional coordinates):
Zn 0.202 0.202 0.376
Fe 0.486 0.486 0.375
Cl 0.976 0.976 0.110
Cl 0.835 0.835 0.639


No. 7
DFT (PBE-GGA) results for crystalline KTlTc2 at its relaxed geometry.

Summary:
D(E_F) = 8.7 states/eV/cell
E above lowest polymorph = 0.7458 eV per atom
Formation energy from the elements = 1231 meV/atom

Cell: 4.343 4.343 10.786 Å, 78.39 78.39 90.00°
Atoms (fractional coordinates):
K 0.500 0.500 0.000
K 0.250 0.750 0.500
Tl 0.000 0.000 0.000
Tl 0.750 0.250 0.500
Tc 0.003 0.125 0.250
Tc 0.747 0.625 0.250
Tc 0.375 0.997 0.750
Tc 0.875 0.253 0.750


No. 8
DFT (PBE-GGA) results for crystalline ErZrAlAg at its relaxed geometry.

Summary:
D(E_F) = 3.1 states/eV/cell
Formation energy from the elements = -216 meV/atom

Cell: 4.972 4.972 4.972 Å, 60.00 60.00 60.00°
Atoms (fractional coordinates):
Al 0.500 0.500 0.500
Zr 0.250 0.250 0.250
Ag 0.000 0.000 0.000
Er 0.750 0.750 0.750


No. 9
DFT (PBE-GGA) results for crystalline V6Ge2Mo at its relaxed geometry.

Summary:
D(E_F) = 7.9 states/eV/cell
Formation energy from the elements = -225 meV/atom

Cell: 3.149 7.943 6.508 Å, 52.35 89.99 101.44°
Atoms (fractional coordinates):
V 0.950 0.401 0.253
V 0.050 0.599 0.747
V 0.714 0.929 0.420
V 0.828 0.156 0.820
V 0.172 0.844 0.180
V 0.286 0.071 0.580
Ge 0.375 0.250 0.061
Ge 0.625 0.750 0.939
Mo 0.500 0.500 0.500


No. 10
DFT (PBE-GGA) results for crystalline HoGePt at its relaxed geometry.

Summary:
D(E_F) = 0.4 states/eV/cell
Formation energy from the elements = -1104 meV/atom

Cell: 3.472 4.427 4.427 Å, 120.00 90.00 90.00°
Atoms (fractional coordinates):
Ge 0.166 0.333 0.667
Ho 0.667 0.667 0.333
Pt 0.167 0.000 0.000


No. 11
DFT (PBE-GGA) results for crystalline PmHo4Cd2 at its relaxed geometry.

Summary:
D(E_F) = 10.6 states/eV/cell
Formation energy from the elements = 214 meV/atom

Cell: 5.068 5.068 10.741 Å, 76.35 76.35 60.00°
Atoms (fractional coordinates):
Pm 0.500 0.500 0.500
Ho 0.702 0.702 0.893
Ho 0.895 0.895 0.316
Ho 0.298 0.298 0.107
Ho 0.105 0.105 0.684
Cd 0.601 0.601 0.197
Cd 0.399 0.399 0.803


No. 12
DFT (PBE-GGA) results for crystalline PrTiBeN3 at its relaxed geometry.

Summary:
D(E_F) = 0.2 states/eV/cell
Raw formation energy = -1.271 eV per atom

Cell: 3.164 6.719 6.880 Å, 106.67 90.00 90.00°
Atoms (fractional coordinates):
Pr 0.250 0.205 0.237
Pr 0.750 0.795 0.763
Ti 0.250 0.668 0.151
Ti 0.750 0.332 0.849
Be 0.250 0.088 0.602
Be 0.750 0.912 0.398
N 0.750 0.871 0.142
N 0.250 0.129 0.858
N 0.250 0.823 0.469
N 0.750 0.177 0.531
N 0.750 0.453 0.157
N 0.250 0.547 0.843


No. 13
DFT (PBE-GGA) results for crystalline DyYAsO2 at its relaxed geometry.

Summary:
D(E_F) = 2.1 states/eV/cell
Raw formation energy = -2.673 eV per atom

Cell: 3.799 3.799 6.970 Å, 105.82 105.82 90.00°
Atoms (fractional coordinates):
Dy 0.161 0.161 0.322
Y 0.840 0.840 0.680
As 0.500 0.500 0.000
O 0.750 0.250 0.499
O 0.250 0.750 0.499


No. 14
DFT (PBE-GGA) results for crystalline TmBe2Ru at its relaxed geometry.

Summary:
D(E_F) = 1.6 states/eV/cell
E above lowest polymorph = 0.0178 eV per atom
Formation energy from the elements = -231 meV/atom

Cell: 3.091 3.091 5.852 Å, 90.00 90.00 90.00°
Atoms (fractional coordinates):
Ru 0.500 0.500 0.000
Tm 0.500 0.500 0.500
Be 0.000 0.000 0.824
Be 0.000 0.000 0.176


No. 15
DFT (PBE-GGA) results for crystalline Ho2Tl3In3 at its relaxed geometry.

Summary:
D(E_F) = 3.4 states/eV/cell
Formation energy from the elements = -298 meV/atom

Cell: 4.736 4.695 9.338 Å, 90.00 90.00 90.00°
Atoms (fractional coordinates):
Ho 0.000 0.000 0.752
Ho 0.000 0.000 0.248
Tl 0.500 0.000 0.500
Tl 0.000 0.500 0.000
Tl 0.000 0.500 0.500
In 0.500 0.500 0.754
In 0.500 0.500 0.246
In 0.500 0.000 0.000


No. 16
DFT (PBE-GGA) results for crystalline Sr2CaPb2 at its relaxed geometry.

Summary:
D(E_F) = 5.5 states/eV/cell
E above lowest polymorph = 0.0000 eV per atom
Formation energy from the elements = -513 meV/atom

Cell: 8.627 8.627 4.966 Å, 90.00 90.00 90.00°
Atoms (fractional coordinates):
Pb 0.369 0.869 0.000
Pb 0.869 0.631 0.000
Pb 0.631 0.131 0.000
Pb 0.131 0.369 0.000
Sr 0.167 0.667 0.500
Sr 0.667 0.833 0.500
Sr 0.833 0.333 0.500
Sr 0.333 0.167 0.500
Ca 0.000 0.000 0.000
Ca 0.500 0.500 0.000


No. 17
DFT (PBE-GGA) results for crystalline SnGeP2 at its relaxed geometry.

Summary:
D(E_F) = 1.6 states/eV/cell
E above lowest polymorph = 0.0339 eV per atom
Formation energy from the elements = 81 meV/atom

Cell: 3.812 3.812 6.590 Å, 73.19 73.19 60.00°
Atoms (fractional coordinates):
P 0.256 0.256 0.232
P 0.744 0.744 0.768
Ge 0.000 0.000 0.000
Sn 0.500 0.500 0.500


No. 18
DFT (PBE-GGA) results for crystalline DySCl3 at its relaxed geometry.

Summary:
Raw formation energy = -1.684 eV per atom

Cell: 7.319 7.329 12.666 Å, 72.08 90.00 90.00°
Atoms (fractional coordinates):
Dy 0.750 0.081 0.918
Dy 0.250 0.581 0.418
Dy 0.750 0.419 0.582
Dy 0.250 0.919 0.082
S 0.250 0.186 0.695
S 0.250 0.314 0.805
S 0.750 0.686 0.195
S 0.750 0.814 0.305
Cl 0.010 0.685 0.551
Cl 0.990 0.185 0.051
Cl 0.250 0.557 0.209
Cl 0.490 0.816 0.949
Cl 0.750 0.057 0.709
Cl 0.990 0.315 0.449
Cl 0.490 0.684 0.551
Cl 0.250 0.943 0.291
Cl 0.510 0.184 0.051
Cl 0.750 0.443 0.791
Cl 0.010 0.815 0.949
Cl 0.510 0.316 0.449


No. 19
DFT (PBE-GGA) results for crystalline MoPt2Se at its relaxed geometry.

Summary:
D(E_F) = 4.5 states/eV/cell
Raw formation energy = 0.191 eV per atom

Cell: 2.972 4.576 4.767 Å, 90.00 90.00 90.00°
Atoms (fractional coordinates):
Mo 0.000 0.500 0.500
Pt 0.000 0.000 0.000
Pt 0.500 0.500 0.000
Se 0.500 0.000 0.500


No. 20
DFT (PBE-GGA) results for crystalline NdSbRuO at its relaxed geometry.

Summary:
D(E_F) = 3.3 states/eV/cell
Raw formation energy = -1.639 eV per atom

Cell: 4.239 4.239 8.784 Å, 90.00 90.00 90.00°
Atoms (fractional coordinates):
Nd 0.500 0.000 0.625
Nd 0.000 0.500 0.375
Sb 0.000 0.500 0.830
Sb 0.500 0.000 0.170
Ru 0.500 0.500 0.000
Ru 0.000 0.000 0.000
O 0.000 0.000 0.500
O 0.500 0.500 0.500


No. 21
DFT (PBE-GGA) results for crystalline ReB2W at its relaxed geometry.

Summary:
D(E_F) = 5.6 states/eV/cell
E above lowest polymorph = 0.0000 eV per atom
Formation energy from the elements = -80 meV/atom

Cell: 5.194 5.674 5.912 Å, 90.00 90.00 90.00°
Atoms (fractional coordinates):
Re 0.750 0.805 0.819
Re 0.750 0.305 0.681
Re 0.250 0.195 0.181
Re 0.250 0.695 0.319
B 0.920 0.637 0.526
B 0.580 0.137 0.974
B 0.420 0.363 0.474
B 0.080 0.863 0.026
B 0.080 0.363 0.474
B 0.420 0.863 0.026
B 0.580 0.637 0.526
B 0.920 0.137 0.974
W 0.750 0.948 0.310
W 0.750 0.448 0.190
W 0.250 0.052 0.690
W 0.250 0.552 0.810


No. 22
DFT (PBE-GGA) results for crystalline Ba8TlAu4 at its relaxed geometry.

Summary:
D(E_F) = 12.0 states/eV/cell
Formation energy from the elements = -500 meV/atom

Cell: 4.782 10.674 11.669 Å, 88.93 78.18 77.06°
Atoms (fractional coordinates):
Ba 0.161 0.367 0.311
Ba 0.583 0.230 0.604
Ba 0.439 0.729 0.393
Ba 0.861 0.592 0.686
Ba 0.878 0.283 0.962
Ba 0.159 0.934 0.748
Ba 0.145 0.676 0.035
Ba 0.864 0.025 0.248
Tl 0.511 0.980 0.998
Au 0.365 0.447 0.824
Au 0.783 0.896 0.537
Au 0.239 0.062 0.459
Au 0.658 0.512 0.172


No. 23
DFT (PBE-GGA) results for crystalline GdAl6 at its relaxed geometry.

Summary:
D(E_F) = 6.9 states/eV/cell
Formation energy from the elements = 449 meV/atom

Cell: 6.184 6.184 6.184 Å, 109.47 109.47 109.47°
Atoms (fractional coordinates):
Gd 0.000 0.000 0.000
Al 0.250 0.750 0.500
Al 0.500 0.750 0.250
Al 0.250 0.500 0.750
Al 0.750 0.250 0.500
Al 0.500 0.250 0.750
Al 0.750 0.500 0.250